Record 1
Material: Pu3Ga4Pt4
Method: DFT, PBE
State: optimized geometry

```
Pu3Ga4Pt4
1.0
-2.088 3.628 7.089
2.088 -3.628 7.089
2.088 3.628 -7.089
Pu Ga Pt
3 4 4
Cartesian
0.000 0.000 0.000
2.088 0.000 5.381
0.000 3.628 1.708
2.088 1.440 -2.476
2.088 1.440 2.476
0.000 2.188 4.614
0.000 2.188 9.565
0.000 0.000 3.055
2.088 2.146 0.000
0.000 1.483 7.089
0.000 0.000 11.124
```

ρ	13.85	g/cm³
ΔE_f	-0.7969	eV per atom
volume	214.82	Å³ per cell
DOS at the Fermi energy	34.2	states/eV/cell
DFT total energy	-8.003	eV per atom
space-group type	No. 71

***

Record 2
Material: NaTe2RuN
Method: DFT, PBE
State: optimized geometry

```
NaTe2RuN
1.0
5.637 0.000 0.000
0.000 5.637 0.000
0.000 0.000 3.641
Na Te Ru N
1 2 1 1
Cartesian
0.000 0.000 0.000
0.000 2.819 1.821
2.819 0.000 1.821
2.819 2.819 1.821
2.819 2.819 0.000
```

ρ	5.64	g/cm³
polymorph energy (0 for the lowest one)	0.000	eV/atom
volume	115.73	Å³ per cell
DOS at the Fermi energy	3.8	states/eV/cell
DFT total energy	-5.024	eV per atom
E_form (uncorrected)	17	meV per atom
space-group type	No. 123

***

Record 3
Material: La2FeSi
Method: DFT, PBE
State: optimized geometry

```
La2FeSi
1.0
6.933 0.000 0.000
0.000 6.933 0.000
0.000 0.000 6.933
La Fe Si
8 4 4
Cartesian
0.000 0.000 0.000
0.000 3.467 3.467
1.733 1.733 1.733
1.733 5.200 5.200
3.467 0.000 3.467
3.467 3.467 0.000
5.200 1.733 5.200
5.200 5.200 1.733
0.000 0.000 3.467
0.000 3.467 0.000
3.467 0.000 0.000
3.467 3.467 3.467
1.733 1.733 5.200
1.733 5.200 1.733
5.200 1.733 1.733
5.200 5.200 5.200
```

ρ	7.21	g/cm³
volume	333.29	Å³ per cell
DOS at the Fermi energy	3.7	states/eV/cell
DFT total energy	-5.826	eV per atom
E_form (uncorrected)	109	meV per atom
space-group type	No. 216

***

Record 4
Material: BaY2Sn2
Method: DFT, PBE
State: optimized geometry

```
BaY2Sn2
1.0
9.324 0.000 0.000
0.000 9.324 0.000
0.000 0.000 3.514
Ba Y Sn
2 4 4
Cartesian
0.000 0.000 0.000
4.662 4.662 0.000
1.182 3.480 0.000
3.480 8.142 0.000
5.844 1.182 0.000
8.142 5.844 0.000
1.572 6.234 1.757
3.090 1.572 1.757
6.234 7.752 1.757
7.752 3.090 1.757
```

ρ	6.01	g/cm³
polymorph energy (0 for the lowest one)	0.011	eV/atom
ΔE_f	-0.5713	eV per atom
volume	305.49	Å³ per cell
DOS at the Fermi energy	3.3	states/eV/cell
DFT total energy	-5.143	eV per atom
space-group type	No. 127

***

Record 5
Material: Pu2SnPd
Method: DFT, PBE
State: optimized geometry

```
Pu2SnPd
1.0
3.262 0.000 0.000
-1.631 2.825 0.000
0.000 0.000 33.185
Pu Sn Pd
6 3 3
Cartesian
0.000 0.000 3.219
0.000 0.000 29.965
0.000 1.883 18.904
0.000 1.883 25.342
1.631 0.942 7.842
1.631 0.942 14.281
0.000 0.000 0.000
0.000 1.883 22.123
1.631 0.942 11.061
0.000 0.000 16.592
0.000 1.883 5.531
1.631 0.942 27.654
```

ρ	11.62	g/cm³
ΔE_f	0.0829	eV per atom
volume	305.76	Å³ per cell
DOS at the Fermi energy	47.4	states/eV/cell
DFT total energy	-9.382	eV per atom
space-group type	No. 166

***

Record 6
Material: CaCdCu
Method: DFT, PBE
State: optimized geometry

```
CaCdCu
1.0
4.711 0.000 0.000
0.000 7.782 0.000
0.000 0.000 7.474
Ca Cd Cu
4 4 4
Cartesian
1.178 1.528 0.000
1.178 2.363 3.737
3.533 5.419 3.737
3.533 6.254 0.000
1.178 4.718 1.424
1.178 6.956 5.161
3.533 0.827 5.161
3.533 3.065 1.424
1.178 4.411 6.075
1.178 7.262 2.338
3.533 0.520 2.338
3.533 3.371 6.075
```

ρ	5.24	g/cm³
ΔE_f	-0.1785	eV per atom
volume	274.01	Å³ per cell
DOS at the Fermi energy	6.6	states/eV/cell
DFT total energy	-2.516	eV per atom
space-group type	No. 46

***

Record 7
Material: Ti2TeP
Method: DFT, PBE
State: optimized geometry

```
Ti2TeP
1.0
6.514 0.000 0.000
0.000 6.514 0.000
0.000 0.000 6.514
Ti Te P
8 4 4
Cartesian
1.628 1.628 1.628
1.628 1.628 4.885
1.628 4.885 1.628
1.628 4.885 4.885
4.885 1.628 1.628
4.885 1.628 4.885
4.885 4.885 1.628
4.885 4.885 4.885
0.000 0.000 0.000
0.000 3.257 3.257
3.257 0.000 3.257
3.257 3.257 0.000
0.000 0.000 3.257
0.000 3.257 0.000
3.257 0.000 0.000
3.257 3.257 3.257
```

ρ	6.11	g/cm³
polymorph energy (0 for the lowest one)	0.433	eV/atom
volume	276.39	Å³ per cell
DOS at the Fermi energy	12.8	states/eV/cell
DFT total energy	-6.567	eV per atom
E_form (uncorrected)	-482	meV per atom
space-group type	No. 225

***

Record 8
Material: HfGaC2
Method: DFT, PBE
State: optimized geometry

```
HfGaC2
1.0
5.568 0.000 0.000
0.000 5.568 0.000
0.000 0.000 6.522
Hf Ga C
4 4 8
Cartesian
0.000 0.000 0.000
0.000 2.784 1.631
2.784 0.000 4.892
2.784 2.784 3.261
0.000 0.000 3.261
0.000 2.784 4.892
2.784 0.000 1.631
2.784 2.784 0.000
1.239 1.392 4.077
1.392 4.023 5.707
1.392 4.329 2.446
1.545 1.392 0.815
4.023 4.176 0.815
4.176 1.239 2.446
4.176 1.545 5.707
4.329 4.176 4.077
```

ρ	8.94	g/cm³
ΔE_f	0.3989	eV per atom
volume	202.18	Å³ per cell
DOS at the Fermi energy	2.7	states/eV/cell
DFT total energy	-7.458	eV per atom
space-group type	No. 122

***

Record 9
Material: La4GaSe2Br
Method: DFT, PBE
State: optimized geometry

```
La4GaSe2Br
1.0
7.591 0.000 0.000
0.000 4.309 0.000
-2.446 0.000 7.208
La Ga Se Br
4 1 2 1
Cartesian
1.241 0.000 1.689
0.016 2.154 5.443
5.129 2.154 1.765
3.905 0.000 5.519
3.795 0.000 0.000
-1.223 0.000 3.604
0.000 2.154 0.000
2.573 2.154 3.604
```

ρ	6.08	g/cm³
volume	235.76	Å³ per cell
DOS at the Fermi energy	5.7	states/eV/cell
DFT total energy	-5.405	eV per atom
E_form (uncorrected)	-1482	meV per atom
space-group type	No. 10

***

Record 10
Material: Ca4Mo2Br
Method: DFT, PBE
State: optimized geometry

```
Ca4Mo2Br
1.0
5.890 0.000 0.000
0.000 5.890 0.000
0.000 0.000 14.315
Ca Mo Br
8 4 2
Cartesian
0.000 0.000 2.958
0.000 0.000 11.357
0.000 2.945 0.000
0.000 2.945 7.157
2.945 0.000 0.000
2.945 0.000 7.157
2.945 2.945 4.199
2.945 2.945 10.115
0.000 0.000 6.100
0.000 0.000 8.215
2.945 2.945 1.058
2.945 2.945 13.257
0.000 0.000 0.000
2.945 2.945 7.157
```

ρ	2.89	g/cm³
volume	496.54	Å³ per cell
DOS at the Fermi energy	20.4	states/eV/cell
DFT total energy	-4.073	eV per atom
E_form (uncorrected)	404	meV per atom
space-group type	No. 139

***

Record 11
Material: La3Te
Method: DFT, PBE
State: optimized geometry

```
La3Te
1.0
3.922 0.000 0.000
0.000 3.981 0.000
0.000 0.000 9.714
La Te
3 1
Cartesian
0.000 0.000 0.000
0.000 1.990 3.010
1.961 1.990 7.178
1.961 0.000 4.606
```

ρ	5.96	g/cm³
polymorph energy (0 for the lowest one)	0.283	eV/atom
volume	151.65	Å³ per cell
DOS at the Fermi energy	5.4	states/eV/cell
DFT total energy	-4.961	eV per atom
E_form (uncorrected)	-480	meV per atom
space-group type	No. 25

***

Record 12
Material: SrTlZn
Method: DFT, PBE
State: optimized geometry

```
SrTlZn
1.0
4.936 0.000 0.000
-2.468 4.275 0.000
0.000 0.000 4.043
Sr Tl Zn
1 1 1
Cartesian
0.000 0.000 0.000
2.468 1.425 2.021
0.000 2.850 2.021
```

ρ	6.96	g/cm³
ΔE_f	-0.2914	eV per atom
volume	85.30	Å³ per cell
DOS at the Fermi energy	1.7	states/eV/cell
DFT total energy	-2.065	eV per atom
space-group type	No. 187

***

Record 13
Material: CaPrIr
Method: DFT, PBE
State: optimized geometry

```
CaPrIr
1.0
-2.439 7.500 3.501
2.439 -7.500 3.501
2.439 7.500 -3.501
Ca Pr Ir
3 3 3
Cartesian
0.000 0.000 0.000
2.439 2.311 -0.375
0.000 5.190 3.126
2.439 -2.632 3.127
0.000 0.000 3.487
2.439 2.632 3.127
2.439 0.000 1.735
2.439 4.972 1.370
0.000 2.529 4.871
```

ρ	7.26	g/cm³
polymorph energy (0 for the lowest one)	0.000	eV/atom
ΔE_f	-0.4573	eV per atom
volume	256.25	Å³ per cell
DOS at the Fermi energy	3.0	states/eV/cell
DFT total energy	-5.671	eV per atom
space-group type	No. 44